# 1
CsK2IO: relaxed, PBE.

Calculated values
Volume in A^3/atom: 35.4
ρ in g/cm3: 3.32
Size of the total moment in μB per cell: 0.0
Final energy in eV per cell: -15.598
Formation energy without anion corrections in eV/atom: -1.208

Unit cell a=5.4564 b=5.4564 c=5.9396 alpha=90.00 beta=90.00 gamma=90.00
With the nearest neighbours (Å) after each atom.
Space group P4/mmm (No. 123)
Asymmetric unit:
Cs1 0.0000 0.0000 0.0000  2 O 2.97
K1 0.0000 0.5000 0.5000  2 O 2.73
I1 0.5000 0.5000 0.0000  4 Cs 3.86, 8 K 4.03
O1 0.0000 0.0000 0.5000  4 K 2.73, 2 Cs 2.97

---

# 2
SrCaAgO3: relaxed, PBE.

Calculated values
Volume in A^3/atom: 17.4
ρ in g/cm3: 4.51
Size of the total moment in μB per cell: 0.0
Final energy in eV per cell: -64.069
Formation energy without anion corrections in eV/atom: -1.771

Unit cell a=6.5902 b=3.2961 c=9.6162 alpha=90.00 beta=93.00 gamma=90.00
With the nearest neighbours (Å) after each atom.
Space group P2_1/m (No. 11)
Asymmetric unit:
Sr1 0.1849 0.2500 0.2491  6 O 2.51-2.60
Ca1 0.3451 0.7500 0.8890  5 O 2.28-2.37
Ag1 0.2120 0.2500 0.5906  3 O 2.12-2.16
O1 0.1149 0.2500 0.8015  1 Ag 2.16, 2 Ca 2.36
O2 0.2431 0.7500 0.4548  2 Ag 2.12
O3 0.3985 0.7500 0.1251  3 Ca 2.28-2.37, 2 Sr 2.51